Density functional theory data (GGA+U) for Li2TiFeO4 after structural relaxation. Values from VASP.

* SG: No. 9
* uncorrected energy: -6.927 eV/atom
* V: 77.37 Å³/f.u.
* excess energy over the best structure of this formula in the dataset: 0.001 eV/atom

Cell and atoms, written as Quantum ESPRESSO input:
```
&SYSTEM
  ibrav = 0, nat = 32, ntyp = 4
/
ATOMIC_SPECIES
Li 6.94 Li.upf
Ti 47.87 Ti.upf
Fe 55.84 Fe.upf
O 16.00 O.upf
ATOMIC_POSITIONS angstrom
Li 0.895 1.802 4.838
Li -1.221 4.820 0.945
Li 2.403 5.514 4.836
Li 2.621 1.097 0.945
Li 3.869 0.597 4.110
Li 1.750 3.610 0.218
Li 0.027 4.321 4.110
Li -2.093 7.333 0.218
Ti 1.828 -0.785 5.981
Ti -0.257 2.310 2.089
Ti 3.337 2.928 5.979
Ti 1.251 6.022 2.087
Fe 2.545 3.292 2.900
Fe 0.819 3.995 6.792
Fe 4.661 0.272 6.792
Fe 1.037 -0.420 2.901
O -0.263 2.277 6.578
O 2.968 5.278 2.684
O 3.579 -1.446 6.578
O 1.460 1.565 2.685
O 0.345 -0.130 4.914
O 3.574 2.865 1.020
O 1.853 3.583 4.912
O -0.268 6.589 1.020
O 2.731 1.069 5.811
O 0.605 4.066 1.920
O -1.111 4.793 5.812
O 4.447 0.343 1.919
O 0.550 6.270 3.781
O 1.154 -0.471 7.674
O -0.958 2.557 3.782
O 2.663 3.242 7.672
CELL_PARAMETERS angstrom
5.350 -0.011 -0.002
-2.334 7.436 -0.001
0.389 -2.318 7.784
```